(1)
PBE-GGA SrLi2P, relaxed; raw total energy = -13.20 eV per cell; mass density = 2.16 Mg/m³
1.0
4.090 0.000 0.000
0.000 4.128 0.000
-2.032 0.000 6.044
Sr Li P
1 2 1
direct
0.000 0.000 0.000
0.295 0.000 0.588
0.779 0.500 0.554
0.402 0.500 0.802

***

(2)
PBE-GGA BaCoSi4, relaxed; formation energy (no corrections) = 0.503 eV per atom; mass density = 4.49 Mg/m³
1.0
0.000 3.849 3.849
3.849 0.000 3.849
3.849 3.849 0.000
Ba Co Si
1 1 4
direct
0.000 0.000 0.000
0.750 0.750 0.750
0.380 0.380 0.380
0.380 0.380 0.861
0.380 0.861 0.380
0.861 0.380 0.380

***

(3)
PBE-GGA NbPt2PbI, relaxed; formation energy (no corrections) = 0.739 eV per atom; mass density = 9.47 Mg/m³
1.0
4.918 0.000 0.000
0.000 4.918 0.000
0.000 0.000 5.925
Nb Pt Pb I
1 2 1 1
direct
0.000 0.000 0.000
0.000 0.500 0.000
0.500 0.000 0.000
0.000 0.000 0.500
0.500 0.500 0.500

***

(4)
PBE-GGA PrTm2Mg, relaxed; mass density = 6.82 Mg/m³; offset from the most stable computed form = 224 meV per atom
1.0
1.707 0.985 12.145
-1.707 0.985 12.145
0.000 -1.971 12.145
Pr Tm Mg
1 2 1
direct
0.000 0.000 0.000
0.094 0.094 0.094
0.906 0.906 0.906
0.500 0.500 0.500